(1)
The following is a PBE calculation of a geometry-optimized NiSeSBr2 structure, from the Alexandria database.

Values from the calculation:
D(E_F), states/eV/f.u.: 6.03
Density, g/cm3: 4.3
Uncorrected formation energy, meV per atom: 854
ΔE to the lowest computed polymorph, kcal/mol of atoms: 7.28
M_tot, Bohr magnetons per cell: 1.3

Cell lengths 4.9674, 4.9674, 5.1155 Å; angles 90.00, 90.00, 90.00 degrees
Space group P4/mmm (No. 123)
One atom of each set of equivalent atoms:
Ni: 0.0000 0.0000 0.0000 [1 per cell]
Se: 0.5000 0.5000 0.0000 [1 per cell]
S: 0.5000 0.5000 0.5000 [1 per cell]
Br: 0.0000 0.5000 0.5000 [2 per cell]

(2)
The following is a PBE calculation of a geometry-optimized NiSe2S2Br2 structure, from the Alexandria database.

Values from the calculation:
D(E_F), states/eV/f.u.: 3.37
Density, g/cm3: 3.7
Uncorrected formation energy, meV per atom: 85
M_tot, Bohr magnetons per cell: 2.9

Cell lengths 13.5022, 4.6185, 6.9981 Å; angles 90.00, 115.83, 90.00 degrees
Space group C2/m (No. 12)
One atom of each set of equivalent atoms:
Ni: 0.0000 0.0000 0.0000 [2 per cell]
Se: 0.2311 0.5000 0.1675 [4 per cell]
S: 0.1758 0.0000 0.0614 [4 per cell]
Br: 0.0629 0.5000 0.2816 [4 per cell]